Tc2TeP2 | Alexandria | GGA-PBE | relaxed; total DFT energy (no corrections) = -6.95 eV per atom; energy above the most stable polymorph in this dataset = 88.7 meV per atom; SG = No. 127; size of the total moment = 0.00 μB per atom
1.0
7.291 0.000 0.000
0.000 7.291 0.000
0.000 0.000 3.005
Tc Te P
4 2 4
direct
0.141 0.359 0.000
0.359 0.859 0.000
0.641 0.141 0.000
0.859 0.641 0.000
0.000 0.000 0.000
0.500 0.500 0.000
0.131 0.631 0.500
0.369 0.131 0.500
0.631 0.869 0.500
0.869 0.369 0.500

---

LiCo2Hg | Alexandria | GGA-PBE | relaxed; total DFT energy (no corrections) = -3.89 eV per atom; DFT formation energy = 0.9 eV per formula unit; SG = No. 119; size of the total moment = 0.78 μB per atom
1.0
-2.126 2.126 3.022
2.126 -2.126 3.022
2.126 2.126 -3.022
Li Co Hg
1 2 1
direct
0.000 0.000 0.000
0.250 0.750 0.500
0.500 0.500 0.000
0.750 0.250 0.500

---

CsRb2Cl | Alexandria | GGA-PBE | relaxed; total DFT energy (no corrections) = -2.06 eV per atom; energy above the most stable polymorph in this dataset = 0.0 meV per atom; SG = No. 160; size of the total moment = 0.00 μB per atom
1.0
2.487 1.436 12.892
-2.487 1.436 12.892
0.000 -2.872 12.892
Cs Rb Cl
1 2 1
direct
0.000 0.000 0.000
0.216 0.216 0.216
0.452 0.452 0.452
0.834 0.834 0.834

---

Question: total DFT energy (no corrections) of number 3 (CsRb2Cl)?
Answer: -2.06 eV per atom